PBE BaSrHgSbAs, optimized geometry; calculated density = 6172 kg/m³; total energy = -3.41 eV per atom; energy above the most stable polymorph in this dataset = 0.000 eV per atom; SG = Cmc2_1, No. 36
1.0
2.354 -8.860 0.000
2.354 8.860 0.000
0.000 0.000 8.026
Ba Sr Hg Sb As
2 2 2 2 2
Direct
0.215 0.785 0.500
0.785 0.215 0.000
0.031 0.969 0.868
0.969 0.031 0.368
0.407 0.593 0.703
0.593 0.407 0.203
0.431 0.569 0.078
0.569 0.431 0.578
0.167 0.833 0.106
0.833 0.167 0.606